[1]
A relaxed AcTaBO6 crystal. Source: Alexandria via LeMat-Bulk, functional GGA-PBE.

The value obtained for the density is 6.37 g cm⁻³. As for the calculated total energy: -8.42 eV/atom. The uncorrected formation energy comes out at -2.5998 eV per atom.

The space group is P1 (No. 1) and the conventional cell measures 5.213, 5.363 and 5.476 Å, with angles of 87.18, 86.24 and 61.43 degrees. The asymmetric unit holds Ac at (0.000, 0.000, 0.000), Ta at (0.573, 0.665, 0.459), B at (0.087, 0.532, 0.577), O at (0.303, 0.563, 0.680), O at (0.315, 0.997, 0.309), O at (0.551, 0.902, 0.779), O at (0.635, 0.400, 0.227), O at (0.938, 0.403, 0.700) and O at (0.957, 0.679, 0.364).

***

[2]
A relaxed AcTaB2O8 crystal. Source: Alexandria via LeMat-Bulk, functional GGA-PBE.

The value obtained for the density is 6.05 g cm⁻³. As for the calculated total energy: -8.19 eV/atom. The calculation puts the density of states at the Fermi level at 7.23 states/eV/f.u. The uncorrected formation energy comes out at -2.4464 eV per atom.

The space group is C2/m (No. 12) and the conventional cell measures 8.669, 5.037 and 7.011 Å, with angles of 90.00, 92.40 and 90.00 degrees. The asymmetric unit holds Ac at (0.000, 0.000, 0.000), Ta at (0.000, 0.000, 0.500), B at (0.171, 0.500, 0.746), O at (0.086, 0.263, 0.686), O at (0.177, 0.000, 0.336) and O at (0.187, 0.500, 0.957).

***

[3]
A relaxed Ac3TbB4O12 crystal. Source: Alexandria via LeMat-Bulk, functional GGA-PBE.

The value obtained for the density is 6.03 g cm⁻³. As for the calculated total energy: -8.16 eV/atom. The calculation puts the density of states at the Fermi level at 0.00 states/eV/f.u. The uncorrected formation energy comes out at -3.0036 eV per atom.

The space group is R32 (No. 155, hexagonal axes) and the conventional cell measures 10.4813, 10.4813 and 9.3373 Å, with angles of 90.00, 90.00 and 120.00 degrees. The asymmetric unit holds Ac at (0.0000, 0.5104, 0.0000), Tb at (0.0000, 0.0000, 0.0000), B at (0.0000, 0.0000, 0.5000), B at (0.0000, 0.4880, 0.5000), O at (0.0000, 0.6188, 0.5000), O at (0.0000, 0.8691, 0.5000) and O at (0.0233, 0.1982, 0.8474).

***

[4]
A relaxed AcThB2O8 crystal. Source: Alexandria via LeMat-Bulk, functional GGA-PBE.

The value obtained for the density is 7.21 g cm⁻³. As for the calculated total energy: -7.84 eV/atom. The calculation puts the density of states at the Fermi level at 3.69 states/eV/f.u. The uncorrected formation energy comes out at -2.4589 eV per atom.

The space group is I-4 (No. 82) and the conventional cell measures 4.801, 4.801 and 12.165 Å, with angles of 90.00, 90.00 and 90.00 degrees. The asymmetric unit holds Ac at (0.000, 0.000, 0.000), Th at (0.000, 0.500, 0.750), B at (0.000, 0.000, 0.500), B at (0.000, 0.500, 0.250), O at (0.062, 0.240, 0.572) and O at (0.095, 0.746, 0.188).

***

[5]
A relaxed AcTiBO5 crystal. Source: Alexandria via LeMat-Bulk, functional GGA-PBE.

The value obtained for the density is 6.43 g cm⁻³. As for the calculated total energy: -8.36 eV/atom. The calculation puts the density of states at the Fermi level at 0.00 states/eV/f.u. The uncorrected formation energy comes out at -2.9306 eV per atom.

The space group is C2/c (No. 15) and the conventional cell measures 6.543, 8.825 and 7.012 Å, with angles of 90.00, 111.18 and 90.00 degrees. The asymmetric unit holds Ac at (0.000, 0.158, 0.250), Ti at (0.000, 0.500, 0.000), B at (0.000, 0.189, 0.750), O at (0.000, 0.433, 0.250), O at (0.089, 0.288, 0.620) and O at (0.176, 0.086, 0.898).

***

[6]
A relaxed AcTlB2O6 crystal. Source: Alexandria via LeMat-Bulk, functional GGA-PBE.

The value obtained for the density is 6.71 g cm⁻³. As for the calculated total energy: -7.25 eV/atom. The uncorrected formation energy comes out at -2.2930 eV per atom.

The space group is C2/c (No. 15) and the conventional cell measures 8.876, 9.798 and 6.571 Å, with angles of 90.00, 107.95 and 90.00 degrees. The asymmetric unit holds Ac at (0.000, 0.134, 0.250), Tl at (0.000, 0.416, 0.750), B at (0.238, 0.153, 0.756), O at (0.106, 0.391, 0.130), O at (0.127, 0.068, 0.636) and O at (0.218, 0.294, 0.753).

***

[7]
A relaxed AcTlBO3 crystal. Source: Alexandria via LeMat-Bulk, functional GGA-PBE.

The value obtained for the density is 6.83 g cm⁻³. As for the calculated total energy: -6.71 eV/atom. The calculation puts the density of states at the Fermi level at 1.02 states/eV/f.u. The uncorrected formation energy comes out at -2.0349 eV per atom.

The space group is C2/m (No. 12) and the conventional cell measures 12.018, 4.990 and 8.504 Å, with angles of 90.00, 110.93 and 90.00 degrees. The asymmetric unit holds Ac at (0.081, 0.000, 0.354), Tl at (0.214, 0.500, 0.084), B at (0.115, 0.500, 0.643), O at (0.033, 0.500, 0.708), O at (0.111, 0.000, 0.635) and O at (0.186, 0.500, 0.560).

***

[8]
A relaxed Ac2TlBO5 crystal. Source: Alexandria via LeMat-Bulk, functional GGA-PBE.

The value obtained for the density is 8.92 g cm⁻³. As for the calculated total energy: -6.88 eV/atom. The calculation puts the density of states at the Fermi level at 0.00 states/eV/f.u. The uncorrected formation energy comes out at -2.2111 eV per atom.

The space group is P4/mbm (No. 127) and the conventional cell measures 7.158, 7.158 and 5.442 Å, with angles of 90.00, 90.00 and 90.00 degrees. The asymmetric unit holds Ac at (0.183, 0.317, 0.000), Tl at (0.000, 0.000, 0.500), B at (0.000, 0.500, 0.500), O at (0.000, 0.000, 0.000) and O at (0.112, 0.612, 0.288).

***

[9]
A relaxed Ac3TlB2O8 crystal. Source: Alexandria via LeMat-Bulk, functional GGA-PBE.

The value obtained for the density is 8.18 g cm⁻³. As for the calculated total energy: -7.51 eV/atom. The calculation puts the density of states at the Fermi level at 0.00 states/eV/f.u. The uncorrected formation energy comes out at -2.6764 eV per atom.

The space group is P-3m1 (No. 164) and the conventional cell measures 5.3433, 5.3433 and 8.4997 Å, with angles of 90.00, 90.00 and 120.00 degrees. The asymmetric unit holds Ac at (0.0000, 0.0000, 0.0000), Ac at (0.3333, 0.6667, 0.7369), Tl at (0.0000, 0.0000, 0.5000), B at (0.3333, 0.6667, 0.1824), O at (0.1811, 0.3622, 0.2379) and O at (0.3333, 0.6667, 0.0020).

***

[10]
A relaxed AcTl2B2O6 crystal. Source: Alexandria via LeMat-Bulk, functional GGA-PBE.

The value obtained for the density is 6.95 g cm⁻³. As for the calculated total energy: -6.80 eV/atom. The calculation puts the density of states at the Fermi level at 3.11 states/eV/f.u. The uncorrected formation energy comes out at -2.0760 eV per atom.

The space group is C2/m (No. 12) and the conventional cell measures 10.078, 5.634 and 8.039 Å, with angles of 90.00, 127.88 and 90.00 degrees. The asymmetric unit holds Ac at (0.000, 0.000, 0.000), Tl at (0.077, 0.500, 0.390), B at (0.210, 0.000, 0.745), O at (0.090, 0.000, 0.775) and O at (0.222, 0.289, 0.267).

***

[11]
A relaxed AcTl2BO4 crystal. Source: Alexandria via LeMat-Bulk, functional GGA-PBE.

The value obtained for the density is 7.18 g cm⁻³. As for the calculated total energy: -6.51 eV/atom. The calculation puts the density of states at the Fermi level at 0.00 states/eV/f.u. The uncorrected formation energy comes out at -2.0926 eV per atom.

The space group is Pmn2_1 (No. 31) and the conventional cell measures 7.215, 9.559 and 4.764 Å, with angles of 90.00, 90.00 and 90.00 degrees. The asymmetric unit holds Ac at (0.000, 0.058, 0.000), Tl at (0.245, 0.661, 0.986), B at (0.000, 0.852, 0.512), O at (0.000, 0.186, 0.562), O at (0.000, 0.815, 0.231) and O at (0.167, 0.878, 0.650).

***

[12]
A relaxed AcTl3B2O6 crystal. Source: Alexandria via LeMat-Bulk, functional GGA-PBE.

The value obtained for the density is 7.31 g cm⁻³. As for the calculated total energy: -6.53 eV/atom. The calculation puts the density of states at the Fermi level at 0.00 states/eV/f.u. The uncorrected formation energy comes out at -2.0040 eV per atom.

The space group is P-3m1 (No. 164) and the conventional cell measures 5.7084, 5.7084 and 7.7090 Å, with angles of 90.00, 90.00 and 120.00 degrees. The asymmetric unit holds Ac at (0.0000, 0.0000, 0.0000), Tl at (0.0000, 0.0000, 0.5000), Tl at (0.3333, 0.6667, 0.3055), B at (0.3333, 0.6667, 0.7898) and O at (0.1926, 0.3851, 0.7905).

***

[13]
A relaxed AcTmB2O6 crystal. Source: Alexandria via LeMat-Bulk, functional GGA-PBE.

The value obtained for the density is 6.84 g cm⁻³. As for the calculated total energy: -8.27 eV/atom. The calculation puts the density of states at the Fermi level at 0.00 states/eV/f.u. The uncorrected formation energy comes out at -3.1040 eV per atom.

The space group is C2/c (No. 15) and the conventional cell measures 8.264, 9.812 and 6.486 Å, with angles of 90.00, 108.43 and 90.00 degrees. The asymmetric unit holds Ac at (0.000, 0.151, 0.250), Tm at (0.000, 0.411, 0.750), B at (0.245, 0.121, 0.732), O at (0.095, 0.387, 0.112), O at (0.165, 0.245, 0.680) and O at (0.186, 0.007, 0.607).

***

[14]
A relaxed AcTm3B4O12 crystal. Source: Alexandria via LeMat-Bulk, functional GGA-PBE.

The value obtained for the density is 6.30 g cm⁻³. As for the calculated total energy: -8.32 eV/atom. The calculation puts the density of states at the Fermi level at 0.00 states/eV/f.u. The uncorrected formation energy comes out at -3.1315 eV per atom.

The space group is R32 (No. 155, hexagonal axes) and the conventional cell measures 10.1803, 10.1803 and 8.5345 Å, with angles of 90.00, 90.00 and 120.00 degrees. The asymmetric unit holds Ac at (0.0000, 0.0000, 0.0000), Tm at (0.0000, 0.5429, 0.0000), B at (0.0000, 0.0000, 0.5000), B at (0.0000, 0.4551, 0.5000), O at (0.0000, 0.5918, 0.5000), O at (0.0000, 0.8634, 0.5000) and O at (0.0119, 0.2081, 0.1796).